1.
! ZrTaReRu, optimized geometry, DFT PBE; values from VASP
&SYSTEM
  ibrav = 0, nat = 4, ntyp = 4
/
ATOMIC_SPECIES
Zr 91.22 Zr.upf
Ta 180.95 Ta.upf
Re 186.21 Re.upf
Ru 101.07 Ru.upf
CELL_PARAMETERS angstrom
3.232 0.000 0.000
0.000 3.232 0.000
0.000 0.000 6.505
ATOMIC_POSITIONS crystal
Zr 0.000 0.000 0.000
Ta 0.000 0.000 0.503
Re 0.500 0.500 0.737
Ru 0.500 0.500 0.259
! DOS at the Fermi energy   1.61 states/eV/f.u.
! Energy above the lowest structure with this stoichiometry   0.0000 eV/atom
! Raw total energy   -10.99 eV per atom
! Calculated formation energy   -455 meV per atom

2.
! TbReRu, optimized geometry, DFT PBE; values from VASP
&SYSTEM
  ibrav = 0, nat = 6, ntyp = 3
/
ATOMIC_SPECIES
Tb 158.93 Tb.upf
Re 186.21 Re.upf
Ru 101.07 Ru.upf
CELL_PARAMETERS angstrom
-2.569 2.857 3.778
2.569 -2.857 3.778
2.569 2.857 -3.778
ATOMIC_POSITIONS crystal
Tb 0.372 0.122 0.250
Tb 0.628 0.878 0.750
Re 0.000 0.000 0.500
Re 0.000 0.500 0.000
Ru 0.000 0.500 0.500
Ru 0.500 0.500 0.000
! DOS at the Fermi energy   1.93 states/eV/f.u.
! Energy above the lowest structure with this stoichiometry   0.0000 eV/atom
! Raw total energy   -9.03 eV per atom
! Calculated formation energy   -246 meV per atom

3.
! Tb2ReRu3, optimized geometry, DFT PBE; values from VASP
&SYSTEM
  ibrav = 0, nat = 12, ntyp = 3
/
ATOMIC_SPECIES
Tb 158.93 Tb.upf
Re 186.21 Re.upf
Ru 101.07 Ru.upf
CELL_PARAMETERS angstrom
5.529 0.000 0.000
-2.764 4.788 0.000
0.000 0.000 8.241
ATOMIC_POSITIONS crystal
Tb 0.333 0.667 0.061
Tb 0.333 0.667 0.439
Tb 0.667 0.333 0.561
Tb 0.667 0.333 0.939
Re 0.000 0.000 0.000
Re 0.000 0.000 0.500
Ru 0.170 0.340 0.750
Ru 0.170 0.830 0.750
Ru 0.340 0.170 0.250
Ru 0.660 0.830 0.750
Ru 0.830 0.170 0.250
Ru 0.830 0.660 0.250
! DOS at the Fermi energy   4.32 states/eV/f.u.
! Raw total energy   -8.54 eV per atom
! Calculated formation energy   -286 meV per atom

4.
! TbReRu, optimized geometry, DFT PBE; values from VASP
&SYSTEM
  ibrav = 0, nat = 6, ntyp = 3
/
ATOMIC_SPECIES
Tb 158.93 Tb.upf
Re 186.21 Re.upf
Ru 101.07 Ru.upf
CELL_PARAMETERS angstrom
4.258 -2.631 0.000
4.258 2.631 0.000
-1.441 0.000 5.117
ATOMIC_POSITIONS crystal
Tb 0.134 0.134 0.387
Tb 0.866 0.866 0.613
Re 0.000 0.500 0.000
Re 0.500 0.000 0.000
Ru 0.499 0.499 0.737
Ru 0.501 0.501 0.263
! DOS at the Fermi energy   3.60 states/eV/f.u.
! Energy above the lowest structure with this stoichiometry   0.5143 eV/atom
! Raw total energy   -8.52 eV per atom
! Calculated formation energy   268 meV per atom